(1)
A geometry-optimized Cs6K8Tl structure, computed with GGA-PBE.

space-group type = R-3 (148)
total moment = 0.00 μB per cell
D(E_F) = 15.85 states/eV/cell
formation energy from the elements = 3.4 kJ/mol of atoms

```
Cs6K8Tl
1.0
8.559 4.941 5.249
-8.559 4.941 5.249
0.000 -9.883 5.249
Cs K Tl
6 8 1
direct
0.166 0.369 0.705 Cs
0.295 0.834 0.631 Cs
0.369 0.705 0.166 Cs
0.631 0.295 0.834 Cs
0.705 0.166 0.369 Cs
0.834 0.631 0.295 Cs
0.015 0.321 0.093 K
0.093 0.015 0.321 K
0.321 0.093 0.015 K
0.365 0.365 0.365 K
0.635 0.635 0.635 K
0.679 0.907 0.985 K
0.907 0.985 0.679 K
0.985 0.679 0.907 K
0.000 0.000 0.000 Tl
```

***

(2)
A geometry-optimized CsKTl structure, computed with GGA-PBE.

space-group type = I4mm (107)
total moment = 0.45 μB per cell
D(E_F) = 3.30 states/eV/cell
formation energy from the elements = 1.5 kJ/mol of atoms

```
CsKTl
1.0
-2.282 2.282 8.041
2.282 -2.282 8.041
2.282 2.282 -8.041
Cs K Tl
1 1 1
direct
0.000 0.000 0.000 Cs
0.270 0.270 0.000 K
0.649 0.649 0.000 Tl
```

***

(3)
A geometry-optimized Cs3KTl structure, computed with GGA-PBE.

space-group type = P4_2/mnm (136)
total moment = 0.00 μB per cell
D(E_F) = 16.23 states/eV/cell
formation energy from the elements = -1.8 kJ/mol of atoms

```
Cs3KTl
1.0
15.953 0.000 0.000
0.000 15.953 0.000
0.000 0.000 6.257
Cs K Tl
12 4 4
direct
0.011 0.316 0.000 Cs
0.107 0.893 0.500 Cs
0.184 0.511 0.500 Cs
0.316 0.011 0.000 Cs
0.393 0.393 0.000 Cs
0.489 0.816 0.500 Cs
0.511 0.184 0.500 Cs
0.607 0.607 0.000 Cs
0.684 0.989 0.000 Cs
0.816 0.489 0.500 Cs
0.893 0.107 0.500 Cs
0.989 0.684 0.000 Cs
0.177 0.177 0.500 K
0.323 0.677 0.000 K
0.677 0.323 0.000 K
0.823 0.823 0.500 K
0.068 0.068 0.000 Tl
0.432 0.568 0.500 Tl
0.568 0.432 0.500 Tl
0.932 0.932 0.000 Tl
```

***

(4)
A geometry-optimized Cs2KTl9 structure, computed with GGA-PBE.

space-group type = R-3m (166)
total moment = 0.00 μB per cell
D(E_F) = 6.89 states/eV/cell
formation energy from the elements = -5.9 kJ/mol of atoms

```
Cs2KTl9
1.0
3.412 1.970 11.021
-3.412 1.970 11.021
0.000 -3.940 11.021
Cs K Tl
2 1 9
direct
0.143 0.143 0.143 Cs
0.857 0.857 0.857 Cs
0.000 0.000 0.000 K
0.080 0.582 0.582 Tl
0.334 0.334 0.334 Tl
0.418 0.418 0.920 Tl
0.418 0.920 0.418 Tl
0.500 0.500 0.500 Tl
0.582 0.080 0.582 Tl
0.582 0.582 0.080 Tl
0.666 0.666 0.666 Tl
0.920 0.418 0.418 Tl
```

***

(5)
A geometry-optimized CsK2Tl structure, computed with GGA-PBE.

space-group type = R-3m (166)
total moment = 0.00 μB per cell
D(E_F) = 4.19 states/eV/cell
formation energy from the elements = 19.9 kJ/mol of atoms

```
CsK2Tl
1.0
2.207 1.274 15.730
-2.207 1.274 15.730
0.000 -2.548 15.730
Cs K Tl
1 2 1
direct
0.000 0.000 0.000 Cs
0.425 0.425 0.425 K
0.575 0.575 0.575 K
0.500 0.500 0.500 Tl
```

***

(6)
A geometry-optimized Cs7K2Tl2 structure, computed with GGA-PBE.

space-group type = C2/m (12)
total moment = 0.00 μB per cell
D(E_F) = 9.81 states/eV/cell
formation energy from the elements = -0.7 kJ/mol of atoms

```
Cs7K2Tl2
1.0
5.257 -6.896 0.000
5.257 6.896 0.000
-1.823 0.000 12.864
Cs K Tl
7 2 2
direct
0.000 0.000 0.000 Cs
0.133 0.512 0.820 Cs
0.327 0.327 0.356 Cs
0.488 0.867 0.180 Cs
0.512 0.133 0.820 Cs
0.673 0.673 0.644 Cs
0.867 0.488 0.180 Cs
0.175 0.825 0.500 K
0.825 0.175 0.500 K
0.390 0.390 0.062 Tl
0.610 0.610 0.938 Tl
```

***

(7)
A geometry-optimized Cs2K4Tl structure, computed with GGA-PBE.

space-group type = I4/mcm (140)
total moment = 0.00 μB per cell
D(E_F) = 9.93 states/eV/cell
formation energy from the elements = -1.8 kJ/mol of atoms

```
Cs2K4Tl
1.0
-8.360 8.360 3.653
8.360 -8.360 3.653
8.360 8.360 -3.653
Cs K Tl
4 8 2
direct
0.118 0.618 0.736 Cs
0.382 0.118 0.500 Cs
0.618 0.882 0.500 Cs
0.882 0.382 0.264 Cs
0.086 0.181 0.267 K
0.181 0.914 0.095 K
0.319 0.414 0.733 K
0.414 0.681 0.095 K
0.586 0.319 0.905 K
0.681 0.586 0.267 K
0.819 0.086 0.905 K
0.914 0.819 0.733 K
0.250 0.250 0.000 Tl
0.750 0.750 0.000 Tl
```

***

(8)
A geometry-optimized Cs2K6Tl structure, computed with GGA-PBE.

space-group type = C2/c (15)
total moment = 0.00 μB per cell
D(E_F) = 15.97 states/eV/cell
formation energy from the elements = 0.1 kJ/mol of atoms

```
Cs2K6Tl
1.0
6.629 -9.261 0.000
6.629 9.261 0.000
-1.107 0.000 10.870
Cs K Tl
4 12 2
direct
0.097 0.822 0.513 Cs
0.178 0.903 0.987 Cs
0.822 0.097 0.013 Cs
0.903 0.178 0.487 Cs
0.117 0.503 0.183 K
0.217 0.294 0.832 K
0.294 0.217 0.332 K
0.326 0.557 0.553 K
0.443 0.674 0.947 K
0.497 0.883 0.317 K
0.503 0.117 0.683 K
0.557 0.326 0.053 K
0.674 0.443 0.447 K
0.706 0.783 0.668 K
0.783 0.706 0.168 K
0.883 0.497 0.817 K
0.455 0.545 0.250 Tl
0.545 0.455 0.750 Tl
```

***

(9)
A geometry-optimized CsK2Tl6 structure, computed with GGA-PBE.

space-group type = P6/mmm (191)
total moment = 0.00 μB per cell
D(E_F) = 4.32 states/eV/cell
formation energy from the elements = -5.3 kJ/mol of atoms

```
CsK2Tl6
1.0
9.699 0.000 0.000
-4.850 8.400 0.000
0.000 0.000 4.046
Cs K Tl
1 2 6
direct
0.000 0.000 0.000 Cs
0.333 0.667 0.000 K
0.667 0.333 0.000 K
0.000 0.339 0.500 Tl
0.000 0.661 0.500 Tl
0.339 0.000 0.500 Tl
0.339 0.339 0.500 Tl
0.661 0.000 0.500 Tl
0.661 0.661 0.500 Tl
```

***

(10)
A geometry-optimized CsK7Tl5 structure, computed with GGA-PBE.

space-group type = Imm2 (44)
total moment = 0.00 μB per cell
D(E_F) = 8.25 states/eV/cell
formation energy from the elements = -4.2 kJ/mol of atoms

```
CsK7Tl5
1.0
-3.586 6.259 6.625
3.586 -6.259 6.625
3.586 6.259 -6.625
Cs K Tl
1 7 5
direct
0.000 0.000 0.000 Cs
0.151 0.456 0.695 K
0.265 0.929 0.336 K
0.303 0.303 0.000 K
0.594 0.929 0.664 K
0.640 0.640 0.000 K
0.714 0.214 0.500 K
0.761 0.456 0.305 K
0.183 0.683 0.500 Tl
0.426 0.435 0.477 Tl
0.426 0.949 0.990 Tl
0.959 0.435 0.010 Tl
0.959 0.949 0.523 Tl
```

***

(11)
A geometry-optimized CsK4Tl structure, computed with GGA-PBE.

space-group type = C2/m (12)
total moment = 0.00 μB per cell
D(E_F) = 9.37 states/eV/cell
formation energy from the elements = -1.7 kJ/mol of atoms

```
CsK4Tl
1.0
11.385 -5.009 0.000
11.385 5.009 0.000
-2.491 0.000 7.137
Cs K Tl
2 8 2
direct
0.211 0.211 0.211 Cs
0.789 0.789 0.789 Cs
0.129 0.662 0.396 K
0.206 0.794 0.000 K
0.338 0.871 0.604 K
0.352 0.352 0.852 K
0.648 0.648 0.148 K
0.662 0.129 0.396 K
0.794 0.206 0.000 K
0.871 0.338 0.604 K
0.500 0.500 0.292 Tl
0.500 0.500 0.708 Tl
```

***

(12)
A geometry-optimized Cs5K12Tl2 structure, computed with GGA-PBE.

space-group type = C2/m (12)
total moment = 0.00 μB per cell
D(E_F) = 16.98 states/eV/cell
formation energy from the elements = 0.7 kJ/mol of atoms

```
Cs5K12Tl2
1.0
13.091 -4.644 0.000
13.091 4.644 0.000
-2.538 0.000 11.755
Cs K Tl
5 12 2
direct
0.000 0.000 0.000 Cs
0.235 0.235 0.657 Cs
0.340 0.340 0.329 Cs
0.660 0.660 0.671 Cs
0.765 0.765 0.343 Cs
0.055 0.055 0.655 K
0.073 0.595 0.980 K
0.128 0.662 0.654 K
0.338 0.872 0.346 K
0.405 0.927 0.020 K
0.481 0.481 0.184 K
0.519 0.519 0.816 K
0.595 0.073 0.980 K
0.662 0.128 0.654 K
0.872 0.338 0.346 K
0.927 0.405 0.020 K
0.945 0.945 0.345 K
0.338 0.662 0.500 Tl
0.662 0.338 0.500 Tl
```

***

- Which value of formation energy from the elements does entry 3 give?
  -1.8 kJ/mol of atoms

***

- The highest total moment belongs to which entry?
  CsKTl

***

- The highest D(E_F) belongs to which entry?
  Cs5K12Tl2

***

- Look up the formation energy from the elements of the first one.
  3.4 kJ/mol of atoms